{"formula": "NaSbCl3", "functional": "GGA-PBE", "state": "optimized geometry", "mass_density_g_cm3": 2.764, "e_above_lowest_polymorph_ev_per_atom": 0.000, "formation_energy_uncorrected_mev_per_atom": -1112, "spacegroup": "No. 148", "energy_ev_per_atom": -3.31, "cell": [[3.7761, 2.1801, 6.1077], [-3.7761, 2.1801, 6.1077], [0.0000, -4.3602, 6.1077]], "species": ["Na", "Na", "Sb", "Sb", "Cl", "Cl", "Cl", "Cl", "Cl", "Cl"], "frac_coords": [[0.1585, 0.1585, 0.1585], [0.8415, 0.8415, 0.8415], [0.4182, 0.4182, 0.4182], [0.5818, 0.5818, 0.5818], [0.0712, 0.7608, 0.4357], [0.2392, 0.5643, 0.9288], [0.4357, 0.0712, 0.7608], [0.5643, 0.9288, 0.2392], [0.7608, 0.4357, 0.0712], [0.9288, 0.2392, 0.5643]]}